A relaxed KSnO3 crystal, computed with PBE.

The calculated density comes out at 4.933 g/cm3. The uncorrected formation energy is -29.811 kcal/mol of atoms.

The structure belongs to space group Pm-3m (No. 221); the cell edges are 4.1071, 4.1071 and 4.1071 Å and the angles 90.00°, 90.00° and 90.00°. The asymmetric unit holds K at (0.0000, 0.0000, 0.0000), Sn at (0.5000, 0.5000, 0.5000) and O at (0.0000, 0.5000, 0.5000).